Material: LaMgCd
Method: DFT, PBE-GGA
State: relaxed

Cell lengths 6.2812, 6.2812, 6.8616 Å; angles 123.09, 123.09, 49.14 degrees
Closest atoms and distances in Å follow each position.
Atoms (fractional coordinates):
La 0.9996 0.9996 0.2441  2 La 3.36-3.51, 6 Mg 3.47-3.50, 6 Cd 3.47-3.50
La 0.0004 0.0004 0.7559  2 La 3.36-3.51, 6 Mg 3.47-3.50, 6 Cd 3.47-3.50
Mg 0.3319 0.3319 0.3327  2 Cd 3.01, 1 Mg 3.07
Mg 0.6681 0.6681 0.6673  2 Cd 3.01, 1 Mg 3.07
Cd 0.3309 0.3309 0.8306  2 Mg 3.01, 1 Cd 3.09
Cd 0.6691 0.6691 0.1694  2 Mg 3.01, 1 Cd 3.09

## Properties
**Space-group type**: No. 12
**Calculated total energy**: -2.7432 eV/atom
**Formation enthalpy at 0 K**: -0.8 eV/f.u.
**Density**: 5.590 g cm⁻³

Material: LaMgCd
Method: DFT, PBE-GGA
State: relaxed

Cell lengths 5.1228, 5.1228, 5.1228 Å; angles 60.00, 60.00, 60.00 degrees
Closest atoms and distances in Å follow each position.
Atoms (fractional coordinates):
La 0.0000 0.0000 0.0000  4 Cd 3.14
Mg 0.5000 0.5000 0.5000  4 Cd 3.14
Cd 0.7500 0.7500 0.7500  4 Mg 3.14, 4 La 3.14

## Properties
**Space-group type**: No. 216
**Calculated total energy**: -2.5571 eV/atom
**Formation enthalpy at 0 K**: -0.2 eV/f.u.
**Density**: 4.815 g cm⁻³

Material: LaMgCd11
Method: DFT, PBE-GGA
State: relaxed

Cell lengths 7.6723, 7.6723, 7.6871 Å; angles 98.73, 98.73, 133.93 degrees
Closest atoms and distances in Å follow each position.
Atoms (fractional coordinates):
La 0.0000 0.0000 0.0000  18 Cd 3.51-3.84, 2 Mg 3.85
Mg 0.5000 0.5000 0.5000  10 Cd 2.91-3.06
Cd 0.0000 0.0000 0.5000  8 Cd 2.95-3.08, 2 Mg 3.00
Cd 0.0000 0.5000 0.0000  10 Cd 2.93-3.12
Cd 0.0055 0.3550 0.3525  7 Cd 2.98-3.25, 1 Mg 3.06
Cd 0.2911 0.5045 0.7847  1 Mg 2.91, 8 Cd 2.93-3.25
Cd 0.3550 0.0055 0.3525  7 Cd 2.98-3.25, 1 Mg 3.06
Cd 0.4955 0.7089 0.2153  1 Mg 2.91, 8 Cd 2.93-3.25
Cd 0.5000 0.0000 0.0000  10 Cd 2.93-3.12
Cd 0.5045 0.2911 0.7847  1 Mg 2.91, 8 Cd 2.93-3.25
Cd 0.6450 0.9945 0.6475  7 Cd 2.98-3.25, 1 Mg 3.06
Cd 0.7089 0.4955 0.2153  1 Mg 2.91, 8 Cd 2.93-3.25
Cd 0.9945 0.6450 0.6475  7 Cd 2.98-3.25, 1 Mg 3.06

## Properties
**Space-group type**: No. 12
**Calculated total energy**: -1.4360 eV/atom
**Formation enthalpy at 0 K**: -2.1 eV/f.u.
**Density**: 7.739 g cm⁻³

Material: LaMgCd
Method: DFT, PBE-GGA
State: relaxed

Cell lengths 7.3234, 7.3234, 7.3234 Å; angles 152.96, 152.96, 38.62 degrees
Closest atoms and distances in Å follow each position.
Atoms (fractional coordinates):
La 0.0000 0.0000 0.0000  4 Cd 3.41, 4 La 3.42, 4 Mg 3.54
Mg 0.3130 0.3130 0.0000  4 Cd 3.09, 4 Mg 3.42
Cd 0.6738 0.6738 0.0000  4 Mg 3.09, 4 La 3.41, 4 Cd 3.42

## Properties
**Space-group type**: No. 107
**Calculated total energy**: -2.6653 eV/atom
**Formation enthalpy at 0 K**: -0.6 eV/f.u.
**Density**: 5.646 g cm⁻³

Material: La4MgCd
Method: DFT, PBE-GGA
State: relaxed

Cell lengths 6.5991, 6.5991, 6.5991 Å; angles 60.00, 60.00, 60.00 degrees
Closest atoms and distances in Å follow each position.
Atoms (fractional coordinates):
La 0.1253 0.1253 0.1253  6 La 3.29-3.31
La 0.1253 0.1253 0.6241  6 La 3.29-3.31
La 0.1253 0.6241 0.1253  6 La 3.29-3.31
La 0.6241 0.1253 0.1253  6 La 3.29-3.31
Mg 0.7500 0.7500 0.7500  12 La 3.87, 4 Cd 4.04
Cd 0.5000 0.5000 0.5000  12 La 3.87, 4 Mg 4.04

## Properties
**Space-group type**: No. 216
**Calculated total energy**: -3.4720 eV/atom
**Formation enthalpy at 0 K**: 1.4 eV/f.u.
**Excess energy over the best structure of this formula in the dataset**: 364.6 meV/atom
**Density**: 5.658 g cm⁻³

Material: LaMg14Cd
Method: DFT, PBE-GGA
State: relaxed

Cell lengths 6.5578, 6.5578, 10.3773 Å; angles 90.00, 90.00, 120.00 degrees
Closest atoms and distances in Å follow each position.
Atoms (fractional coordinates):
La 0.0000 0.0000 0.0000  12 Mg 3.28
Mg 0.0158 0.5079 0.0000  10 Mg 3.12-3.43, 2 La 3.28
Mg 0.1675 0.3350 0.2573  1 Cd 3.16, 10 Mg 3.16-3.30, 1 La 3.28
Mg 0.1675 0.3350 0.7427  1 Cd 3.16, 10 Mg 3.16-3.30, 1 La 3.28
Mg 0.1675 0.8325 0.2573  1 Cd 3.16, 10 Mg 3.16-3.30, 1 La 3.28
Mg 0.1675 0.8325 0.7427  1 Cd 3.16, 10 Mg 3.16-3.30, 1 La 3.28
Mg 0.4921 0.5079 0.0000  10 Mg 3.12-3.43, 2 La 3.28
Mg 0.4921 0.9842 0.0000  10 Mg 3.12-3.43, 2 La 3.28
Mg 0.5029 0.0058 0.5000  10 Mg 3.16-3.34, 2 Cd 3.28
Mg 0.5029 0.4971 0.5000  10 Mg 3.16-3.34, 2 Cd 3.28
Mg 0.6650 0.8325 0.2573  1 Cd 3.16, 10 Mg 3.16-3.30, 1 La 3.28
Mg 0.6650 0.8325 0.7427  1 Cd 3.16, 10 Mg 3.16-3.30, 1 La 3.28
Mg 0.6667 0.3333 0.2353  12 Mg 3.15-3.32
Mg 0.6667 0.3333 0.7647  12 Mg 3.15-3.32
Mg 0.9942 0.4971 0.5000  10 Mg 3.16-3.34, 2 Cd 3.28
Cd 0.0000 0.0000 0.5000  12 Mg 3.16-3.28

## Properties
**Space-group type**: No. 187
**Calculated total energy**: -1.7661 eV/atom
**Formation enthalpy at 0 K**: -0.1 eV/f.u.
**Excess energy over the best structure of this formula in the dataset**: 6.3 meV/atom
**Density**: 2.542 g cm⁻³

Material: La4Mg3Cd
Method: DFT, PBE-GGA
State: relaxed

Cell lengths 3.9620, 3.9620, 15.7886 Å; angles 90.00, 90.00, 90.00 degrees
Closest atoms and distances in Å follow each position.
Atoms (fractional coordinates):
La 0.0000 0.0000 0.1238  4 Cd 3.42, 4 Mg 3.44
La 0.0000 0.0000 0.3735  8 Mg 3.41-3.44
La 0.0000 0.0000 0.6265  8 Mg 3.41-3.44
La 0.0000 0.0000 0.8762  4 Cd 3.42, 4 Mg 3.44
Mg 0.5000 0.5000 0.2505  8 La 3.41-3.44
Mg 0.5000 0.5000 0.5000  8 La 3.44
Mg 0.5000 0.5000 0.7495  8 La 3.41-3.44
Cd 0.5000 0.5000 0.0000  8 La 3.42

## Properties
**Space-group type**: No. 123
**Calculated total energy**: -3.3423 eV/atom
**Formation enthalpy at 0 K**: -1.3 eV/f.u.
**Density**: 4.964 g cm⁻³

Material: La5MgCd2
Method: DFT, PBE-GGA
State: relaxed

Cell lengths 6.9194, 6.9194, 6.9194 Å; angles 109.15, 109.15, 110.11 degrees
Closest atoms and distances in Å follow each position.
Atoms (fractional coordinates):
La 0.0000 0.0000 0.0000  8 La 3.46
La 0.4996 0.4996 0.5004  2 La 3.46, 4 Cd 3.46, 2 Mg 3.46
La 0.4996 0.9992 0.0000  2 La 3.46, 4 Cd 3.46, 2 Mg 3.46
La 0.9992 0.4996 0.0000  2 La 3.46, 4 Cd 3.46, 2 Mg 3.46
La 0.9992 0.9992 0.4996  2 La 3.46, 4 Cd 3.46, 2 Mg 3.46
Mg 0.4990 0.4990 0.0000  8 La 3.46
Cd 0.9995 0.4995 0.5000  8 La 3.46
Cd 0.4995 0.9995 0.5000  8 La 3.46

## Properties
**Space-group type**: No. 107
**Calculated total energy**: -3.6535 eV/atom
**Formation enthalpy at 0 K**: -1.2 eV/f.u.
**Density**: 6.145 g cm⁻³

Material: LaMgCd3
Method: DFT, PBE-GGA
State: relaxed

Cell lengths 6.1386, 6.1386, 6.1386 Å; angles 90.00, 90.00, 90.00 degrees
Closest atoms and distances in Å follow each position.
Atoms (fractional coordinates):
La 0.0000 0.0000 0.0000  6 Cd 3.07
Mg 0.5000 0.5000 0.5000  12 Cd 4.34
Cd 0.0000 0.0000 0.5000  2 La 3.07
Cd 0.0000 0.5000 0.0000  2 La 3.07
Cd 0.5000 0.0000 0.0000  2 La 3.07

## Properties
**Space-group type**: No. 221
**Calculated total energy**: -1.1091 eV/atom
**Formation enthalpy at 0 K**: 3.7 eV/f.u.
**Excess energy over the best structure of this formula in the dataset**: 940.0 meV/atom
**Density**: 3.593 g cm⁻³

Material: LaMg2Cd9
Method: DFT, PBE-GGA
State: relaxed

Cell lengths 9.9784, 9.9784, 3.3058 Å; angles 90.00, 90.00, 120.00 degrees
Closest atoms and distances in Å follow each position.
Atoms (fractional coordinates):
La 0.0000 0.0000 0.0000  2 La 3.31, 12 Cd 3.50
Mg 0.3333 0.6667 0.0000  9 Cd 2.88-3.14
Mg 0.6667 0.3333 0.0000  9 Cd 2.88-3.14
Cd 0.0000 0.5000 0.0000  2 Mg 2.88
Cd 0.1787 0.3574 0.5000  8 Cd 3.09-3.31, 2 Mg 3.14
Cd 0.1787 0.8213 0.5000  8 Cd 3.09-3.31, 2 Mg 3.14
Cd 0.3574 0.1787 0.5000  8 Cd 3.09-3.31, 2 Mg 3.14
Cd 0.5000 0.0000 0.0000  2 Mg 2.88
Cd 0.5000 0.5000 0.0000  2 Mg 2.88
Cd 0.6426 0.8213 0.5000  8 Cd 3.09-3.31, 2 Mg 3.14
Cd 0.8213 0.1787 0.5000  8 Cd 3.09-3.31, 2 Mg 3.14
Cd 0.8213 0.6426 0.5000  8 Cd 3.09-3.31, 2 Mg 3.14

## Properties
**Space-group type**: No. 191
**Calculated total energy**: -1.4626 eV/atom
**Formation enthalpy at 0 K**: -1.2 eV/f.u.
**Excess energy over the best structure of this formula in the dataset**: 71.4 meV/atom
**Density**: 6.986 g cm⁻³

Material: LaMg3Cd3
Method: DFT, PBE-GGA
State: relaxed

Cell lengths 7.5402, 7.5402, 7.5402 Å; angles 90.00, 90.00, 90.00 degrees
Closest atoms and distances in Å follow each position.
Atoms (fractional coordinates):
La 0.0000 0.0000 0.0000  12 Cd 4.22, 12 Mg 4.22
La 0.5000 0.5000 0.5000  12 Cd 4.22, 12 Mg 4.22
Mg 0.0000 0.2500 0.5000  4 Cd 2.67
Mg 0.0000 0.7500 0.5000  4 Cd 2.67
Mg 0.2500 0.5000 0.0000  4 Cd 2.67
Mg 0.5000 0.0000 0.2500  4 Cd 2.67
Mg 0.5000 0.0000 0.7500  4 Cd 2.67
Mg 0.7500 0.5000 0.0000  4 Cd 2.67
Cd 0.0000 0.5000 0.2500  4 Mg 2.67
Cd 0.0000 0.5000 0.7500  4 Mg 2.67
Cd 0.2500 0.0000 0.5000  4 Mg 2.67
Cd 0.5000 0.2500 0.0000  4 Mg 2.67
Cd 0.5000 0.7500 0.0000  4 Mg 2.67
Cd 0.7500 0.0000 0.5000  4 Mg 2.67

## Properties
**Space-group type**: No. 223
**Calculated total energy**: -1.4783 eV/atom
**Formation enthalpy at 0 K**: 2.1 eV/f.u.
**Density**: 4.253 g cm⁻³

Material: LaMgCd2
Method: DFT, PBE-GGA
State: relaxed

Cell lengths 5.1545, 5.1545, 4.0774 Å; angles 90.00, 90.00, 90.00 degrees
Closest atoms and distances in Å follow each position.
Atoms (fractional coordinates):
La 0.0000 0.0000 0.0000  8 Cd 3.29, 4 Mg 3.64
Mg 0.5000 0.5000 0.0000  8 Cd 3.29, 4 La 3.64
Cd 0.0000 0.5000 0.5000  4 La 3.29, 4 Mg 3.29, 4 Cd 3.64
Cd 0.5000 0.0000 0.5000  4 La 3.29, 4 Mg 3.29, 4 Cd 3.64

## Properties
**Space-group type**: No. 123
**Calculated total energy**: -2.2996 eV/atom
**Formation enthalpy at 0 K**: -0.8 eV/f.u.
**Density**: 5.948 g cm⁻³

Which formula does entry 3 have?
LaMgCd11

density of number 7 (La4Mg3Cd)?
4.964 g cm⁻³